Entry 1:
Entry from Alexandria: NaZn2Sb2 after structural relaxation (GGA-PBE).

## Properties
For the offset from the most stable computed form, the calculation gives 0.000 eV/atom. For the total DFT energy (no corrections), the calculation gives -2.58 eV/atom. The space group is I4/mmm. As for the formation energy from raw total energies: -158 meV per atom.

abc: 4.0830 4.0830 8.3246
angles: 75.80 75.80 90.00
With the nearest neighbours (Å) after each atom.
Fractional positions:
Sb: 0.3680 0.3680 0.2641  4 Zn 2.75
Sb: 0.6320 0.6320 0.7359  4 Zn 2.75
Zn: 0.7500 0.2500 0.5000  4 Sb 2.75, 4 Zn 2.89
Zn: 0.2500 0.7500 0.5000  4 Sb 2.75, 4 Zn 2.89
Na: 0.0000 0.0000 0.0000  8 Sb 3.55

---

Entry 2:
Entry from Alexandria: NaZnSb2 after structural relaxation (GGA-PBE).

## Properties
For the total DFT energy (no corrections), the calculation gives -2.80 eV/atom. The space group is P2_1/c. As for the formation energy from raw total energies: -90 meV per atom.

abc: 6.1447 8.4960 9.2558
angles: 90.00 105.09 90.00
With the nearest neighbours (Å) after each atom.
Fractional positions:
Na: 0.3303 0.4207 0.1161  5 Sb 3.14-3.45
Na: 0.1697 0.9207 0.8839  5 Sb 3.14-3.45
Na: 0.8303 0.0793 0.1161  5 Sb 3.14-3.45
Na: 0.6697 0.5793 0.8839  5 Sb 3.14-3.45
Zn: 0.6765 0.0869 0.6142  5 Sb 2.68-2.93, 1 Zn 2.99
Zn: 0.1765 0.4131 0.6142  5 Sb 2.68-2.93, 1 Zn 2.99
Zn: 0.3235 0.9131 0.3858  5 Sb 2.68-2.93, 1 Zn 2.99
Zn: 0.8235 0.5869 0.3858  5 Sb 2.68-2.93, 1 Zn 2.99
Sb: 0.5377 0.7745 0.1768  2 Zn 2.76-2.86
Sb: 0.0377 0.7255 0.1768  2 Zn 2.76-2.86
Sb: 0.7905 0.2731 0.3966  3 Zn 2.68-2.93
Sb: 0.9623 0.2745 0.8232  2 Zn 2.76-2.86
Sb: 0.2095 0.7269 0.6034  3 Zn 2.68-2.93
Sb: 0.7095 0.7731 0.6034  3 Zn 2.68-2.93
Sb: 0.4623 0.2255 0.8232  2 Zn 2.76-2.86
Sb: 0.2905 0.2269 0.3966  3 Zn 2.68-2.93

---

Entry 3:
Entry from Alexandria: NaZnSb2 after structural relaxation (GGA-PBE).

## Properties
For the total DFT energy (no corrections), the calculation gives -2.72 eV/atom. The space group is R3m. As for the formation energy from raw total energies: -8 meV per atom.

abc: 4.6599 4.6599 6.2593
angles: 68.15 68.15 60.00
With the nearest neighbours (Å) after each atom.
Fractional positions:
Na: 0.4928 0.4928 0.5215  6 Sb 3.02-3.13, 1 Zn 3.08
Zn: 0.6745 0.6745 0.9764  6 Sb 2.95-3.07, 1 Na 3.08
Sb: 0.0786 0.0786 0.7641  3 Zn 2.95, 1 Sb 2.97, 3 Na 3.02
Sb: 0.2540 0.2540 0.2380  1 Sb 2.97, 3 Zn 3.07, 3 Na 3.13

---

Entry 4:
Entry from Alexandria: Na3ZnSb4 after structural relaxation (GGA-PBE).

## Properties
For the total DFT energy (no corrections), the calculation gives -2.85 eV/atom. The space group is Immm. As for the formation energy from raw total energies: -133 meV per atom.

abc: 4.6207 8.2847 8.1110
angles: 120.71 106.55 90.00
With the nearest neighbours (Å) after each atom.
Fractional positions:
Na: 0.1829 0.1829 0.3658  6 Sb 3.33-3.39, 2 Zn 3.34
Na: 0.8171 0.8171 0.6342  6 Sb 3.33-3.39, 2 Zn 3.34
Na: 0.0000 0.5000 0.0000  8 Sb 3.29
Zn: 0.5000 0.0000 0.0000  4 Sb 2.68
Sb: 0.3924 0.1665 0.7848  1 Zn 2.68, 1 Sb 2.83
Sb: 0.6076 0.8335 0.2152  1 Zn 2.68, 1 Sb 2.83
Sb: 0.6076 0.3818 0.2152  1 Zn 2.68, 1 Sb 2.83
Sb: 0.3924 0.6182 0.7848  1 Zn 2.68, 1 Sb 2.83